No. 1
# GGA-PBE Zr2PtPb, relaxed
data_Zr2PtPb
_chemical_formula_sum 'Zr4 Pt2 Pb2'
_symmetry_space_group_name_H-M 'C m m m'
_symmetry_Int_Tables_number 65
_symmetry_space_group_name_Hall '-C 2 2'
_cell_length_a 6.128
_cell_length_b 8.405
_cell_length_c 3.241
_cell_angle_alpha 90.00
_cell_angle_beta 90.00
_cell_angle_gamma 90.00
loop_
_atom_site_label
_atom_site_type_symbol
_atom_site_fract_x
_atom_site_fract_y
_atom_site_fract_z
Zr1 Zr 0.250 0.250 0.000
Pt1 Pt 0.000 0.000 0.500
Pb1 Pb 0.000 0.500 0.500
# - N(E_F) (states/eV per cell) = 8.267
# - M_tot (μB/cell) = 0.0

---

No. 2
# GGA-PBE CsGa2Si2, relaxed
data_CsGa2Si2
_chemical_formula_sum 'Cs2 Ga4 Si4'
_symmetry_space_group_name_H-M 'I 4/m m m'
_symmetry_Int_Tables_number 139
_symmetry_space_group_name_Hall '-I 4 2'
_cell_length_a 4.811
_cell_length_b 4.811
_cell_length_c 9.952
_cell_angle_alpha 90.00
_cell_angle_beta 90.00
_cell_angle_gamma 90.00
loop_
_atom_site_label
_atom_site_type_symbol
_atom_site_fract_x
_atom_site_fract_y
_atom_site_fract_z
Cs1 Cs 0.000 0.000 0.000
Ga1 Ga 0.000 0.500 0.250
Si1 Si 0.000 0.000 0.375
# - N(E_F) (states/eV per cell) = 1.978
# - relative energy among the computed polymorphs (meV per atom) = 0
# - raw formation energy (kJ/mol of formula units) = 28
# - M_tot (μB/cell) = 0.0

---

No. 3
# GGA-PBE NdAgGeTe3, relaxed
data_NdAgGeTe3
_chemical_formula_sum 'Nd2 Ag2 Ge2 Te6'
_symmetry_space_group_name_H-M 'P 1 21/m 1'
_symmetry_Int_Tables_number 11
_cell_length_a 8.749
_cell_length_b 4.273
_cell_length_c 9.666
_cell_angle_alpha 90.00
_cell_angle_beta 101.69
_cell_angle_gamma 90.00
loop_
_symmetry_equiv_pos_as_xyz
'x,y,z'
'-x,-y,-z'
'-x,y+1/2,-z'
'x,-y+1/2,z'
loop_
_atom_site_label
_atom_site_type_symbol
_atom_site_fract_x
_atom_site_fract_y
_atom_site_fract_z
Nd1 Nd 0.178 0.250 0.243
Ag1 Ag 0.082 0.250 0.582
Ge1 Ge 0.336 0.750 0.853
Te1 Te 0.099 0.250 0.879
Te2 Te 0.265 0.750 0.499
Te3 Te 0.419 0.750 0.151
# - raw formation energy (kJ/mol of formula units) = -368
# - M_tot (μB/cell) = 0.0

---

Calculated total DFT energy (no corrections) in order - -0.2624; -0.1283; -0.1560 Ha/atom